(A)
This record from the Alexandria database describes a relaxed SrTl2Ir2 crystal. The functional is PBE.

```
data_SrTl2Ir2
_chemical_formula_sum 'Sr2 Tl4 Ir4'
_cell_length_a 8.1046
_cell_length_b 8.1046
_cell_length_c 3.2525
_cell_angle_alpha 90.00
_cell_angle_beta 90.00
_cell_angle_gamma 90.00
_symmetry_space_group_name_H-M 'P 1'
_symmetry_Int_Tables_number 1
loop_
_symmetry_equiv_pos_as_xyz
'x,y,z'
loop_
_atom_site_label
_atom_site_fract_x
_atom_site_fract_y
_atom_site_fract_z
Sr1 0.0000 0.0000 0.0000
Sr2 0.5000 0.5000 0.0000
Tl1 0.1579 0.3421 0.5000
Tl2 0.3421 0.8421 0.5000
Tl3 0.6579 0.1579 0.5000
Tl4 0.8421 0.6579 0.5000
Ir1 0.1363 0.6363 0.0000
Ir2 0.3637 0.1363 0.0000
Ir3 0.6363 0.8637 0.0000
Ir4 0.8637 0.3637 0.0000
```

Properties
Space-group type   P4/mbm
Total magnetic moment   0.00 Bohr magnetons per cell



(B)
This record from the Alexandria database describes a relaxed SrTl2Ir2 crystal. The functional is PBE.

```
data_SrTl2Ir2
_chemical_formula_sum 'Sr1 Tl2 Ir2'
_cell_length_a 6.4877
_cell_length_b 6.4877
_cell_length_c 6.4877
_cell_angle_alpha 138.01
_cell_angle_beta 138.01
_cell_angle_gamma 60.88
_symmetry_space_group_name_H-M 'P 1'
_symmetry_Int_Tables_number 1
loop_
_symmetry_equiv_pos_as_xyz
'x,y,z'
loop_
_atom_site_label
_atom_site_fract_x
_atom_site_fract_y
_atom_site_fract_z
Sr1 0.0000 0.0000 0.0000
Tl1 0.2500 0.7500 0.5000
Tl2 0.7500 0.2500 0.5000
Ir1 0.3920 0.3920 0.0000
Ir2 0.6080 0.6080 0.0000
```

Properties
Space-group type   I4/mmm
Total magnetic moment   0.00 Bohr magnetons per cell



How far above the most stable structure does each one sit? In eV/atom: (A) 0.193; (B) 0.000.



(A)
This record from the Alexandria database describes a relaxed Sr8Tl2Ir crystal. The functional is PBE.

```
data_Sr8Tl2Ir
_chemical_formula_sum 'Sr8 Tl2 Ir1'
_cell_length_a 8.8556
_cell_length_b 8.8556
_cell_length_c 7.0804
_cell_angle_alpha 105.75
_cell_angle_beta 105.75
_cell_angle_gamma 73.30
_symmetry_space_group_name_H-M 'P 1'
_symmetry_Int_Tables_number 1
loop_
_symmetry_equiv_pos_as_xyz
'x,y,z'
loop_
_atom_site_label
_atom_site_fract_x
_atom_site_fract_y
_atom_site_fract_z
Sr1 0.0890 0.0890 0.2998
Sr2 0.1698 0.5533 0.2509
Sr3 0.3738 0.3738 0.7513
Sr4 0.4467 0.8302 0.7491
Sr5 0.5533 0.1698 0.2509
Sr6 0.6262 0.6262 0.2487
Sr7 0.8302 0.4467 0.7491
Sr8 0.9110 0.9110 0.7002
Tl1 0.1680 0.1680 0.8883
Tl2 0.8320 0.8320 0.1117
Ir1 0.5000 0.5000 0.5000
```

Properties
Space-group type   C2/m
Total magnetic moment   0.00 Bohr magnetons per cell



(B)
This record from the Alexandria database describes a relaxed Sr8Tl2Ir crystal. The functional is PBE.

```
data_Sr8Tl2Ir
_chemical_formula_sum 'Sr8 Tl2 Ir1'
_cell_length_a 10.4406
_cell_length_b 10.4406
_cell_length_c 7.6391
_cell_angle_alpha 107.12
_cell_angle_beta 107.12
_cell_angle_gamma 32.35
_symmetry_space_group_name_H-M 'P 1'
_symmetry_Int_Tables_number 1
loop_
_symmetry_equiv_pos_as_xyz
'x,y,z'
loop_
_atom_site_label
_atom_site_fract_x
_atom_site_fract_y
_atom_site_fract_z
Sr1 0.0245 0.0245 0.2995
Sr2 0.2117 0.2117 0.7965
Sr3 0.3534 0.3534 0.5487
Sr4 0.4096 0.4096 0.0931
Sr5 0.5904 0.5904 0.9069
Sr6 0.6466 0.6466 0.4513
Sr7 0.7883 0.7883 0.2035
Sr8 0.9755 0.9755 0.7005
Tl1 0.1821 0.1821 0.2139
Tl2 0.8179 0.8179 0.7861
Ir1 0.5000 0.5000 0.5000
```

Properties
Space-group type   C2/m
Total magnetic moment   0.00 Bohr magnetons per cell



How far above the most stable structure does each one sit? In eV/atom: (A) 0.007; (B) 0.000.



(A)
This record from the Alexandria database describes a relaxed SrVIr2 crystal. The functional is PBE.

```
data_SrVIr2
_chemical_formula_sum 'Sr2 V2 Ir4'
_cell_length_a 6.0388
_cell_length_b 6.0388
_cell_length_c 6.0388
_cell_angle_alpha 105.03
_cell_angle_beta 105.03
_cell_angle_gamma 118.78
_symmetry_space_group_name_H-M 'P 1'
_symmetry_Int_Tables_number 1
loop_
_symmetry_equiv_pos_as_xyz
'x,y,z'
loop_
_atom_site_label
_atom_site_fract_x
_atom_site_fract_y
_atom_site_fract_z
Sr1 0.0000 0.0000 0.0000
Sr2 0.7500 0.2500 0.5000
V1 0.2500 0.7500 0.5000
V2 0.5000 0.5000 0.0000
Ir1 0.1991 0.1250 0.5741
Ir2 0.3750 0.8009 0.9259
Ir3 0.5509 0.6250 0.4259
Ir4 0.8750 0.4491 0.0741
```

Properties
Space-group type   I-42d
Total magnetic moment   0.00 Bohr magnetons per cell



(B)
This record from the Alexandria database describes a relaxed SrVIr2 crystal. The functional is PBE.

```
data_SrVIr2
_chemical_formula_sum 'Sr1 V1 Ir2'
_cell_length_a 4.6715
_cell_length_b 4.6715
_cell_length_c 4.6715
_cell_angle_alpha 60.00
_cell_angle_beta 60.00
_cell_angle_gamma 60.00
_symmetry_space_group_name_H-M 'P 1'
_symmetry_Int_Tables_number 1
loop_
_symmetry_equiv_pos_as_xyz
'x,y,z'
loop_
_atom_site_label
_atom_site_fract_x
_atom_site_fract_y
_atom_site_fract_z
Sr1 0.0000 0.0000 0.0000
V1 0.5000 0.5000 0.5000
Ir1 0.2500 0.2500 0.2500
Ir2 0.7500 0.7500 0.7500
```

Properties
Space-group type   Fm-3m
Total magnetic moment   1.39 Bohr magnetons per cell



How far above the most stable structure does each one sit? In eV/atom: (A) 0.000; (B) 0.147.



(A)
This record from the Alexandria database describes a relaxed SrVIr3 crystal. The functional is PBE.

```
data_SrVIr3
_chemical_formula_sum 'Sr1 V1 Ir3'
_cell_length_a 4.9023
_cell_length_b 4.9023
_cell_length_c 4.9023
_cell_angle_alpha 90.00
_cell_angle_beta 90.00
_cell_angle_gamma 90.00
_symmetry_space_group_name_H-M 'P 1'
_symmetry_Int_Tables_number 1
loop_
_symmetry_equiv_pos_as_xyz
'x,y,z'
loop_
_atom_site_label
_atom_site_fract_x
_atom_site_fract_y
_atom_site_fract_z
Sr1 0.0000 0.0000 0.0000
V1 0.5000 0.5000 0.5000
Ir1 0.0000 0.0000 0.5000
Ir2 0.0000 0.5000 0.0000
Ir3 0.5000 0.0000 0.0000
```

Properties
Space-group type   Pm-3m
Total magnetic moment   1.80 Bohr magnetons per cell



(B)
This record from the Alexandria database describes a relaxed SrVIr3 crystal. The functional is PBE.

```
data_SrVIr3
_chemical_formula_sum 'Sr1 V1 Ir3'
_cell_length_a 4.6565
_cell_length_b 4.6565
_cell_length_c 4.6565
_cell_angle_alpha 90.00
_cell_angle_beta 90.00
_cell_angle_gamma 90.00
_symmetry_space_group_name_H-M 'P 1'
_symmetry_Int_Tables_number 1
loop_
_symmetry_equiv_pos_as_xyz
'x,y,z'
loop_
_atom_site_label
_atom_site_fract_x
_atom_site_fract_y
_atom_site_fract_z
Sr1 0.0000 0.0000 0.0000
V1 0.5000 0.5000 0.5000
Ir1 0.0000 0.5000 0.5000
Ir2 0.5000 0.0000 0.5000
Ir3 0.5000 0.5000 0.0000
```

Properties
Space-group type   Pm-3m
Total magnetic moment   0.00 Bohr magnetons per cell



How far above the most stable structure does each one sit? In eV/atom: (A) 2.335; (B) 0.000.



(A)
This record from the Alexandria database describes a relaxed SrIrW2 crystal. The functional is PBE.

```
data_SrIrW2
_chemical_formula_sum 'Sr1 Ir1 W2'
_cell_length_a 2.8218
_cell_length_b 2.8218
_cell_length_c 9.4882
_cell_angle_alpha 90.00
_cell_angle_beta 90.00
_cell_angle_gamma 90.71
_symmetry_space_group_name_H-M 'P 1'
_symmetry_Int_Tables_number 1
loop_
_symmetry_equiv_pos_as_xyz
'x,y,z'
loop_
_atom_site_label
_atom_site_fract_x
_atom_site_fract_y
_atom_site_fract_z
Sr1 0.0000 0.0000 0.0000
Ir1 0.0000 0.0000 0.5000
W1 0.5000 0.5000 0.2970
W2 0.5000 0.5000 0.7030
```

Properties
Space-group type   Cmmm
Total magnetic moment   0.00 Bohr magnetons per cell



(B)
This record from the Alexandria database describes a relaxed SrIrW2 crystal. The functional is PBE.

```
data_SrIrW2
_chemical_formula_sum 'Sr1 Ir1 W2'
_cell_length_a 6.2599
_cell_length_b 6.2599
_cell_length_c 5.0394
_cell_angle_alpha 113.66
_cell_angle_beta 113.66
_cell_angle_gamma 25.87
_symmetry_space_group_name_H-M 'P 1'
_symmetry_Int_Tables_number 1
loop_
_symmetry_equiv_pos_as_xyz
'x,y,z'
loop_
_atom_site_label
_atom_site_fract_x
_atom_site_fract_y
_atom_site_fract_z
Sr1 0.0000 0.0000 0.0000
Ir1 0.5000 0.5000 0.5000
W1 0.2077 0.2077 0.7077
W2 0.7923 0.7923 0.2923
```

Properties
Space-group type   C2/m
Total magnetic moment   0.00 Bohr magnetons per cell



How far above the most stable structure does each one sit? In eV/atom: (A) 0.119; (B) 0.000.



(A)
This record from the Alexandria database describes a relaxed SrIrW2 crystal. The functional is PBE.

```
data_SrIrW2
_chemical_formula_sum 'Sr1 Ir1 W2'
_cell_length_a 5.5977
_cell_length_b 5.5977
_cell_length_c 2.7743
_cell_angle_alpha 90.00
_cell_angle_beta 90.00
_cell_angle_gamma 121.56
_symmetry_space_group_name_H-M 'P 1'
_symmetry_Int_Tables_number 1
loop_
_symmetry_equiv_pos_as_xyz
'x,y,z'
loop_
_atom_site_label
_atom_site_fract_x
_atom_site_fract_y
_atom_site_fract_z
Sr1 0.0000 0.0000 0.0000
Ir1 0.5000 0.5000 0.0000
W1 0.0000 0.5000 0.5000
W2 0.5000 0.0000 0.5000
```

Properties
Space-group type   Cmmm
Total magnetic moment   0.00 Bohr magnetons per cell



(B)
This record from the Alexandria database describes a relaxed SrIrW2 crystal. The functional is PBE.

```
data_SrIrW2
_chemical_formula_sum 'Sr1 Ir1 W2'
_cell_length_a 4.6351
_cell_length_b 4.6351
_cell_length_c 4.6351
_cell_angle_alpha 60.00
_cell_angle_beta 60.00
_cell_angle_gamma 60.00
_symmetry_space_group_name_H-M 'P 1'
_symmetry_Int_Tables_number 1
loop_
_symmetry_equiv_pos_as_xyz
'x,y,z'
loop_
_atom_site_label
_atom_site_fract_x
_atom_site_fract_y
_atom_site_fract_z
Sr1 0.0000 0.0000 0.0000
Ir1 0.5000 0.5000 0.5000
W1 0.2500 0.2500 0.2500
W2 0.7500 0.7500 0.7500
```

Properties
Space-group type   Fm-3m
Total magnetic moment   0.00 Bohr magnetons per cell



How far above the most stable structure does each one sit? In eV/atom: (A) 0.000; (B) 0.097.



(A)
This record from the Alexandria database describes a relaxed SrIrW2 crystal. The functional is PBE.

```
data_SrIrW2
_chemical_formula_sum 'Sr1 Ir1 W2'
_cell_length_a 10.4693
_cell_length_b 10.4693
_cell_length_c 10.4693
_cell_angle_alpha 15.80
_cell_angle_beta 15.80
_cell_angle_gamma 15.80
_symmetry_space_group_name_H-M 'P 1'
_symmetry_Int_Tables_number 1
loop_
_symmetry_equiv_pos_as_xyz
'x,y,z'
loop_
_atom_site_label
_atom_site_fract_x
_atom_site_fract_y
_atom_site_fract_z
Sr1 0.0000 0.0000 0.0000
Ir1 0.5000 0.5000 0.5000
W1 0.2378 0.2378 0.2378
W2 0.7622 0.7622 0.7622
```

Properties
Space-group type   R-3m
Total magnetic moment   0.00 Bohr magnetons per cell



(B)
This record from the Alexandria database describes a relaxed SrIrW2 crystal. The functional is PBE.

```
data_SrIrW2
_chemical_formula_sum 'Sr1 Ir1 W2'
_cell_length_a 3.1063
_cell_length_b 4.6828
_cell_length_c 5.1117
_cell_angle_alpha 90.00
_cell_angle_beta 90.00
_cell_angle_gamma 90.00
_symmetry_space_group_name_H-M 'P 1'
_symmetry_Int_Tables_number 1
loop_
_symmetry_equiv_pos_as_xyz
'x,y,z'
loop_
_atom_site_label
_atom_site_fract_x
_atom_site_fract_y
_atom_site_fract_z
Sr1 0.0000 0.0000 0.0000
Ir1 0.5000 0.5000 0.0000
W1 0.0000 0.5000 0.5000
W2 0.5000 0.0000 0.5000
```

Properties
Space-group type   Pmmm
Total magnetic moment   0.00 Bohr magnetons per cell



How far above the most stable structure does each one sit? In eV/atom: (A) 0.000; (B) 0.097.



(A)
This record from the Alexandria database describes a relaxed SrIrW3 crystal. The functional is PBE.

```
data_SrIrW3
_chemical_formula_sum 'Sr1 Ir1 W3'
_cell_length_a 4.8966
_cell_length_b 4.8966
_cell_length_c 4.8966
_cell_angle_alpha 90.00
_cell_angle_beta 90.00
_cell_angle_gamma 90.00
_symmetry_space_group_name_H-M 'P 1'
_symmetry_Int_Tables_number 1
loop_
_symmetry_equiv_pos_as_xyz
'x,y,z'
loop_
_atom_site_label
_atom_site_fract_x
_atom_site_fract_y
_atom_site_fract_z
Sr1 0.0000 0.0000 0.0000
Ir1 0.5000 0.5000 0.5000
W1 0.0000 0.5000 0.5000
W2 0.5000 0.0000 0.5000
W3 0.5000 0.5000 0.0000
```

Properties
Space-group type   Pm-3m
Total magnetic moment   1.86 Bohr magnetons per cell



(B)
This record from the Alexandria database describes a relaxed SrIrW3 crystal. The functional is PBE.

```
data_SrIrW3
_chemical_formula_sum 'Sr1 Ir1 W3'
_cell_length_a 4.6435
_cell_length_b 4.6435
_cell_length_c 4.6435
_cell_angle_alpha 90.00
_cell_angle_beta 90.00
_cell_angle_gamma 90.00
_symmetry_space_group_name_H-M 'P 1'
_symmetry_Int_Tables_number 1
loop_
_symmetry_equiv_pos_as_xyz
'x,y,z'
loop_
_atom_site_label
_atom_site_fract_x
_atom_site_fract_y
_atom_site_fract_z
Sr1 0.0000 0.0000 0.0000
Ir1 0.5000 0.5000 0.5000
W1 0.0000 0.0000 0.5000
W2 0.0000 0.5000 0.0000
W3 0.5000 0.0000 0.0000
```

Properties
Space-group type   Pm-3m
Total magnetic moment   0.00 Bohr magnetons per cell



How far above the most stable structure does each one sit? In eV/atom: (A) 0.000; (B) 2.161.